(1)
CaSi2B after structural relaxation, computed with GGA-PBE.

Unit cell a=7.744 b=7.744 c=7.744 alpha=144.87 beta=144.87 gamma=50.53
Element x y z (fractional)
1 Ca 0.375 0.625 0.750
2 Ca 0.625 0.375 0.250
3 Si 0.000 0.000 0.000
4 Si 0.000 0.000 0.500
5 Si 0.000 0.500 0.000
6 Si 0.500 0.000 0.500
7 B 0.125 0.875 0.250
8 B 0.875 0.125 0.750

## Properties
Space-group type = No. 141



(2)
Ca3SiB after structural relaxation, computed with GGA-PBE.

Unit cell a=5.113 b=5.113 c=5.113 alpha=90.00 beta=90.00 gamma=90.00
Element x y z (fractional)
1 Ca 0.000 0.000 0.500
2 Ca 0.000 0.500 0.000
3 Ca 0.500 0.000 0.000
4 Si 0.500 0.500 0.500
5 B 0.000 0.000 0.000

## Properties
Space-group type = No. 221



(3)
SrCaSi2B after structural relaxation, computed with GGA-PBE.

Unit cell a=5.462 b=5.462 c=4.918 alpha=90.00 beta=90.00 gamma=90.00
Element x y z (fractional)
1 Sr 0.000 0.000 0.000
2 Ca 0.500 0.500 0.500
3 Si 0.000 0.500 0.000
4 Si 0.500 0.000 0.000
5 B 0.000 0.000 0.500

## Properties
Space-group type = No. 123



(4)
CaSi2B6W after structural relaxation, computed with GGA-PBE.

Unit cell a=6.466 b=6.466 c=5.423 alpha=94.92 beta=94.92 gamma=88.95
Element x y z (fractional)
1 Ca 0.152 0.848 0.750
2 Ca 0.848 0.152 0.250
3 Si 0.069 0.315 0.793
4 Si 0.315 0.069 0.293
5 Si 0.685 0.931 0.707
6 Si 0.931 0.685 0.207
7 B 0.118 0.484 0.436
8 B 0.201 0.340 0.154
9 B 0.340 0.201 0.654
10 B 0.380 0.501 0.610
11 B 0.484 0.118 0.936
12 B 0.499 0.620 0.890
13 B 0.501 0.380 0.110
14 B 0.516 0.882 0.064
15 B 0.620 0.499 0.390
16 B 0.660 0.799 0.346
17 B 0.799 0.660 0.846
18 B 0.882 0.516 0.564
19 W 0.336 0.664 0.250
20 W 0.664 0.336 0.750

## Properties
Space-group type = No. 15



| no. | DOS at the Fermi energy (states/eV per cell) | E_form (uncorrected) (eV per atom) |
| --- | --- | --- |
| 1 | 2.61 | 0.160 |
| 2 | 5.80 | 0.263 |
| 3 | 7.30 | 1.425 |
| 4 | 2.66 | 0.102 |